W2O2F: optimized geometry, PBE with a Hubbard U.

Energy ... -5.677 eV/atom
Crystal system ... tetragonal
ρ ... 11.68 g cm⁻³
Magnetic moment ... 8.9 μB/cell

Unit cell a=6.584 b=6.584 c=2.745 alpha=90.00 beta=90.00 gamma=90.00
Site moments in Bohr magnetons follow the coordinates.
Fractional coordinates of all 10 atoms:
O: 0.133 0.367 0.000  -0.01
O: 0.367 0.867 0.000  -0.01
O: 0.867 0.633 0.000  -0.01
O: 0.633 0.133 0.000  -0.01
W: 0.324 0.176 0.500  2.05
W: 0.824 0.324 0.500  2.05
W: 0.676 0.824 0.500  2.05
W: 0.176 0.676 0.500  2.05
F: 0.000 0.000 0.000  0.12
F: 0.500 0.500 0.000  0.12